Entry 1:
The following is a DFT calculation (SCAN) of a PBEsol-optimized structure of LaNb2AsOs.

Computed properties:
* SG: No. 123

Unit cell a=4.815 b=4.815 c=4.634 alpha=90.00 beta=90.00 gamma=90.00
Atoms (fractional coordinates):
La: 0.000 0.000 0.000
Nb: 0.000 0.500 0.500
Nb: 0.500 0.000 0.500
As: 0.500 0.500 0.500
Os: 0.500 0.500 0.000

Entry 2:
The following is a DFT calculation (SCAN) of a PBEsol-optimized structure of LaNiAs.

Computed properties:
* SG: No. 187

Unit cell a=4.121 b=4.121 c=4.053 alpha=90.00 beta=90.00 gamma=120.00
Atoms (fractional coordinates):
La: 0.000 0.000 0.000
Ni: 0.333 0.667 0.500
As: 0.667 0.333 0.500

Entry 3:
The following is a DFT calculation (SCAN) of a PBEsol-optimized structure of LaNiAs.

Computed properties:
* SG: No. 194

Unit cell a=4.120 b=4.120 c=8.105 alpha=90.00 beta=90.00 gamma=120.00
Atoms (fractional coordinates):
La: 0.000 0.000 0.000
La: 0.000 0.000 0.500
Ni: 0.333 0.667 0.250
Ni: 0.667 0.333 0.750
As: 0.333 0.667 0.750
As: 0.667 0.333 0.250

| no. | ΔH_f (0 K) (meV/atom) | D(E_F) (states/eV/cell) | E (eV/atom) |
| --- | --- | --- | --- |
| 1 | 449 | 6.1 | -39.838 |
| 2 | -1147 | 1.0 | -27.637 |
| 3 | -1162 | 1.5 | -27.651 |